DFT (SCAN) results for Zr2TaGa2 at its PBEsol-relaxed geometry.

POSCAR file:
```
Zr2TaGa2
1.0
3.6607 0.0000 0.0000
0.0000 7.0492 0.0000
0.0000 0.0000 7.0492
Zr Ga Ta
4 4 2
direct
0.5000 0.6774 0.8226
0.5000 0.8226 0.3226
0.5000 0.1774 0.6774
0.5000 0.3226 0.1774
0.0000 0.1253 0.3747
0.0000 0.8747 0.6253
0.0000 0.3747 0.8747
0.0000 0.6253 0.1253
0.0000 0.0000 0.0000
0.0000 0.5000 0.5000
```

energy of formation: -0.556 eV/atom
spin magnetization: 0.000 μB per atom